VASP calculation (PBEsol) on a relaxed HfSnOF2 crystal.

Calculated values
E_form (uncorrected) (kJ per mole of atoms): -211.5
Magnetic moment (μB per cell): 0.004

Cell: 4.0253 4.3411 4.3411 Å, 90.00 90.00 90.00°
Sites, in units of the cell vectors:
Sn  0.5000  0.5000  0.5000
O  0.5000  0.0000  0.0000
Hf  0.0000  0.0000  0.0000
F  0.0000  0.5000  0.0000
F  0.0000  0.0000  0.5000